(1)
Material: HfNbS3
Method: DFT, GGA-PBE
State: relaxed

## Properties
energy relative to the lowest polymorph listed for this composition: 1.0372 eV per atom
DOS(E_F): 2.66 states/eV/cell
formation energy (no corrections): -0.177 eV/atom
M_tot: 2.98 Bohr magnetons per cell
energy: -6.658 eV/atom

Cell and atoms, written as POSCAR:
```
HfNbS3
1.0
4.861 0.000 0.000
0.000 4.861 0.000
0.000 0.000 4.861
Nb Hf S
1 1 3
direct
0.500 0.500 0.500
0.000 0.000 0.000
0.000 0.500 0.000
0.000 0.000 0.500
0.500 0.000 0.000
```

---

(2)
Material: BaMn3H
Method: DFT, GGA-PBE
State: relaxed

## Properties
energy relative to the lowest polymorph listed for this composition: 1.5571 eV per atom
DOS(E_F): 7.97 states/eV/cell
M_tot: 14.00 Bohr magnetons per cell
energy: -4.212 eV/atom

Cell and atoms, written as POSCAR:
```
BaMn3H
1.0
6.287 0.000 0.000
0.000 6.287 0.000
0.000 0.000 6.287
H Mn Ba
1 3 1
direct
0.500 0.500 0.500
0.000 0.500 0.000
0.000 0.000 0.500
0.500 0.000 0.000
0.000 0.000 0.000
```

---

(3)
Material: ZnPd2Cl
Method: DFT, GGA-PBE
State: relaxed

## Properties
energy relative to the lowest polymorph listed for this composition: 0.0225 eV per atom
DOS(E_F): 4.13 states/eV/cell
formation energy (no corrections): 0.023 eV/atom
M_tot: 0.00 Bohr magnetons per cell
energy: -3.354 eV/atom

Cell and atoms, written as POSCAR:
```
ZnPd2Cl
1.0
4.026 0.000 0.000
0.000 4.026 0.000
2.013 2.013 8.684
Zn Pd Cl
2 4 2
direct
0.000 0.000 0.000
0.750 0.250 0.500
0.626 0.125 0.250
0.124 0.625 0.250
0.375 0.374 0.750
0.875 0.876 0.750
0.500 0.500 0.000
0.250 0.750 0.500
```

---

(4)
Material: HgPtCl2
Method: DFT, GGA-PBE
State: relaxed

## Properties
energy relative to the lowest polymorph listed for this composition: 0.3784 eV per atom
DOS(E_F): 5.13 states/eV/cell
formation energy (no corrections): 0.155 eV/atom
M_tot: 0.01 Bohr magnetons per cell
energy: -2.354 eV/atom

Cell and atoms, written as POSCAR:
```
HgPtCl2
1.0
-1.860 1.474 2.294
1.951 -1.221 2.366
4.722 6.664 -0.453
Hg Pt Cl
1 1 2
direct
0.000 0.000 0.526
0.500 0.500 0.735
0.000 0.000 0.919
0.500 0.500 0.320
```

---

(5)
Material: Ca4Br5N2
Method: DFT, GGA-PBE
State: relaxed

## Properties
DOS(E_F): 2.27 states/eV/cell
formation energy (no corrections): -1.549 eV/atom
M_tot: 1.02 Bohr magnetons per cell
energy: -4.551 eV/atom

Cell and atoms, written as POSCAR:
```
Ca4Br5N2
1.0
3.987 0.000 0.000
0.000 7.828 0.000
-1.994 -3.914 9.152
Ca Br N
4 5 2
direct
0.000 0.295 0.000
0.661 0.661 0.321
0.000 0.705 0.000
0.339 0.339 0.679
0.839 0.075 0.677
0.839 0.603 0.677
0.161 0.397 0.323
0.161 0.925 0.323
0.500 0.000 0.000
0.464 0.464 0.927
0.536 0.536 0.073
```

---

(6)
Material: Ba8Tl2Ga
Method: DFT, GGA-PBE
State: relaxed

## Properties
DOS(E_F): 10.96 states/eV/cell
M_tot: 0.00 Bohr magnetons per cell
energy: -2.334 eV/atom
formation enthalpy at 0 K: -0.231 eV per atom

Cell and atoms, written as POSCAR:
```
Ba8Tl2Ga
1.0
-1.255 -5.616 2.006
6.513 0.393 5.172
-7.914 6.536 4.090
Ba Tl Ga
8 2 1
direct
0.405 0.567 0.810
0.661 0.957 0.322
0.796 0.697 0.592
0.972 0.203 0.944
0.204 0.303 0.408
0.339 0.043 0.678
0.595 0.433 0.190
0.028 0.797 0.056
0.816 0.296 0.632
0.184 0.704 0.368
0.500 0.000 0.000
```

---

(7)
Material: Sc2IrPt
Method: DFT, GGA-PBE
State: relaxed

## Properties
DOS(E_F): 3.00 states/eV/cell
M_tot: 0.00 Bohr magnetons per cell
energy: -6.870 eV/atom
formation enthalpy at 0 K: 0.021 eV per atom

Cell and atoms, written as POSCAR:
```
Sc2IrPt
1.0
4.816 -1.579 -2.966
-1.129 4.941 2.966
-3.334 -0.046 4.833
Sc Ir Pt
2 1 1
direct
0.000 0.246 0.246
0.000 0.754 0.754
0.000 0.000 0.000
0.000 0.500 0.500
```

---

(8)
Material: Dy4GeS2
Method: DFT, GGA-PBE
State: relaxed

## Properties
DOS(E_F): 10.68 states/eV/cell
formation energy (no corrections): -1.268 eV/atom
M_tot: 0.00 Bohr magnetons per cell
energy: -5.737 eV/atom

Cell and atoms, written as POSCAR:
```
Dy4GeS2
1.0
4.084 0.000 0.000
0.000 7.014 0.000
0.000 0.000 11.867
Dy Ge S
8 2 4
direct
0.000 0.616 0.783
0.000 0.384 0.217
0.000 0.116 0.717
0.000 0.884 0.283
0.500 0.739 0.547
0.500 0.261 0.453
0.500 0.761 0.047
0.500 0.239 0.953
0.000 0.000 0.500
0.000 0.500 0.000
0.500 0.894 0.813
0.500 0.106 0.187
0.500 0.394 0.687
0.500 0.606 0.313
```

---

(9)
Material: GdTi2
Method: DFT, GGA-PBE
State: relaxed

## Properties
DOS(E_F): 4.82 states/eV/cell
M_tot: 23.73 Bohr magnetons per cell
energy: -9.731 eV/atom
formation enthalpy at 0 K: 0.226 eV per atom

Cell and atoms, written as POSCAR:
```
GdTi2
1.0
-3.962 3.217 2.812
-5.314 -2.161 1.022
-1.577 -1.411 5.429
Gd Ti
2 4
direct
0.000 0.000 0.000
0.250 0.250 0.250
0.125 0.625 0.625
0.625 0.125 0.625
0.625 0.625 0.625
0.625 0.625 0.125
```

---

(10)
Material: Dy6Ho2TmSc
Method: DFT, GGA-PBE
State: relaxed

## Properties
DOS(E_F): 25.83 states/eV/cell
M_tot: 0.00 Bohr magnetons per cell
energy: -4.630 eV/atom
formation enthalpy at 0 K: 0.127 eV per atom

Cell and atoms, written as POSCAR:
```
Dy6Ho2TmSc
1.0
-3.826 -3.782 7.701
7.642 -3.866 1.166
-0.818 8.119 2.848
Dy Ho Tm Sc
12 4 2 2
direct
0.055 0.125 0.754
0.445 0.246 0.875
0.945 0.875 0.246
0.555 0.754 0.125
0.310 0.993 0.434
0.190 0.566 0.007
0.690 0.007 0.566
0.810 0.434 0.993
0.117 0.708 0.495
0.383 0.505 0.292
0.883 0.292 0.505
0.617 0.495 0.708
0.454 0.800 0.698
0.046 0.302 0.200
0.546 0.200 0.302
0.954 0.698 0.800
0.250 0.978 0.022
0.750 0.022 0.978
0.250 0.413 0.587
0.750 0.587 0.413
```

---

(11)
Material: Nd6HoMg2
Method: DFT, GGA-PBE
State: relaxed

## Properties
energy relative to the lowest polymorph listed for this composition: 0.0329 eV per atom
DOS(E_F): 23.10 states/eV/cell
M_tot: 0.00 Bohr magnetons per cell
energy: -3.948 eV/atom
formation enthalpy at 0 K: 0.094 eV per atom

Cell and atoms, written as POSCAR:
```
Nd6HoMg2
1.0
-0.618 4.210 -2.969
-4.049 5.683 8.903
7.498 5.588 6.365
Nd Ho Mg
12 2 4
direct
0.250 0.709 0.488
0.250 0.512 0.291
0.750 0.291 0.512
0.750 0.488 0.709
0.750 0.984 0.386
0.750 0.614 0.016
0.250 0.016 0.614
0.250 0.386 0.984
0.250 0.826 0.000
0.250 0.000 0.174
0.750 0.174 0.000
0.750 0.000 0.826
0.250 0.244 0.756
0.750 0.756 0.244
0.250 0.689 0.792
0.250 0.208 0.311
0.750 0.311 0.208
0.750 0.792 0.689
```

---

(12)
Material: Na12HgAu3
Method: DFT, GGA-PBE
State: relaxed

## Properties
DOS(E_F): 6.77 states/eV/cell
M_tot: 0.00 Bohr magnetons per cell
energy: -1.775 eV/atom
formation enthalpy at 0 K: -0.152 eV per atom

Cell and atoms, written as POSCAR:
```
Na12HgAu3
1.0
-4.074 -2.259 -0.812
1.487 -3.630 2.641
-7.505 8.044 15.279
Na Hg Au
12 1 3
direct
0.500 0.500 0.000
0.500 0.500 0.255
0.500 0.500 0.500
0.500 0.500 0.745
0.500 0.000 0.134
0.500 0.000 0.377
0.500 0.000 0.623
0.500 0.000 0.866
0.000 0.500 0.134
0.000 0.500 0.377
0.000 0.500 0.623
0.000 0.500 0.866
0.000 0.000 0.000
0.000 0.000 0.254
0.000 0.000 0.500
0.000 0.000 0.746
```